# GGA-PBE TbPmNdSc, relaxed
# ΔE to the lowest computed polymorph: 48.1 meV/atom
data_TbPmNdSc
_cell_length_a 7.9636
_cell_length_b 7.9636
_cell_length_c 7.9636
_cell_angle_alpha 90.00
_cell_angle_beta 90.00
_cell_angle_gamma 90.00
_space_group_name_H-M_alt 'F -4 3 m'
_space_group_IT_number 216
_space_group_name_Hall 'F -4 2 3'
loop_
_atom_site_label
_atom_site_type_symbol
_atom_site_fract_x
_atom_site_fract_y
_atom_site_fract_z
Tb1 Tb 0.0000 0.0000 0.0000
Pm1 Pm 0.2500 0.2500 0.7500
Nd1 Nd 0.0000 0.0000 0.5000
Sc1 Sc 0.2500 0.2500 0.2500

Entry from Alexandria via LeMat-Bulk: an optimized crystal structure of TbPmNd3Sc (GGA-PBE).

The structure in CIF format:
```
data_TbPmNd3Sc
_cell_length_a 5.0394
_cell_length_b 15.2356
_cell_length_c 10.1834
_cell_angle_alpha 90.00
_cell_angle_beta 90.00
_cell_angle_gamma 90.00
_space_group_name_H-M_alt 'C m c m'
_space_group_IT_number 63
_space_group_name_Hall '-C 2c 2'
loop_
_atom_site_label
_atom_site_type_symbol
_atom_site_fract_x
_atom_site_fract_y
_atom_site_fract_z
Tb1 Tb 0.0000 0.0000 0.0000
Pm1 Pm 0.0000 0.4955 0.2500
Nd1 Nd 0.0000 0.1689 0.2500
Nd2 Nd 0.0000 0.3336 0.0018
Sc1 Sc 0.0000 0.1662 0.7500
```

Entry from Alexandria via LeMat-Bulk: an optimized crystal structure of Tb6PmNd2Sc3 (GGA-PBE).

The structure in CIF format:
```
data_Tb6PmNd2Sc3
_cell_length_a 6.1130
_cell_length_b 10.5883
_cell_length_c 11.5787
_cell_angle_alpha 90.00
_cell_angle_beta 100.13
_cell_angle_gamma 90.00
_space_group_name_H-M_alt 'C 1 2/m 1'
_space_group_IT_number 12
loop_
_space_group_symop_operation_xyz
'x,y,z'
'-x,-y,-z'
'-x,y,-z'
'x,-y,z'
'x+1/2,y+1/2,z'
'-x+1/2,-y+1/2,-z'
'-x+1/2,y+1/2,-z'
'x+1/2,-y+1/2,z'
loop_
_atom_site_label
_atom_site_type_symbol
_atom_site_fract_x
_atom_site_fract_y
_atom_site_fract_z
Tb1 Tb 0.2455 0.0000 0.2375
Tb2 Tb 0.2457 0.3334 0.2376
Pm1 Pm 0.0000 0.0000 0.5000
Nd1 Nd 0.0000 0.3334 0.5000
Sc1 Sc 0.0000 0.1667 0.0000
Sc2 Sc 0.0000 0.5000 0.0000
```

Entry from Alexandria via LeMat-Bulk: an optimized crystal structure of Tb2Pm3Nd6Sc (GGA-PBE).

The structure in CIF format:
```
data_Tb2Pm3Nd6Sc
_cell_length_a 6.2865
_cell_length_b 10.8906
_cell_length_c 11.9302
_cell_angle_alpha 90.00
_cell_angle_beta 100.10
_cell_angle_gamma 90.00
_space_group_name_H-M_alt 'C 1 2/m 1'
_space_group_IT_number 12
loop_
_space_group_symop_operation_xyz
'x,y,z'
'-x,-y,-z'
'-x,y,-z'
'x,-y,z'
'x+1/2,y+1/2,z'
'-x+1/2,-y+1/2,-z'
'-x+1/2,y+1/2,-z'
'x+1/2,-y+1/2,z'
loop_
_atom_site_label
_atom_site_type_symbol
_atom_site_fract_x
_atom_site_fract_y
_atom_site_fract_z
Tb1 Tb 0.0000 0.1667 0.0000
Pm1 Pm 0.0000 0.0000 0.5000
Pm2 Pm 0.0000 0.3333 0.5000
Nd1 Nd 0.2462 0.3350 0.2446
Nd2 Nd 0.2487 0.5000 0.7551
Sc1 Sc 0.0000 0.5000 0.0000
```

# GGA-PBE TbPmNdSc, relaxed
# ΔE to the lowest computed polymorph: 0.0 meV/atom
data_TbPmNdSc
_cell_length_a 12.2784
_cell_length_b 5.7221
_cell_length_c 3.7861
_cell_angle_alpha 90.00
_cell_angle_beta 107.76
_cell_angle_gamma 90.00
_space_group_name_H-M_alt 'C 1 m 1'
_space_group_IT_number 8
loop_
_space_group_symop_operation_xyz
'x,y,z'
'x,-y,z'
'x+1/2,y+1/2,z'
'x+1/2,-y+1/2,z'
loop_
_atom_site_label
_atom_site_type_symbol
_atom_site_fract_x
_atom_site_fract_y
_atom_site_fract_z
Tb1 Tb 0.0000 0.0000 0.0000
Pm1 Pm 0.4586 0.0000 0.4551
Nd1 Nd 0.2318 0.5000 0.2671
Sc1 Sc 0.2278 0.0000 0.7400

Entry from Alexandria via LeMat-Bulk: an optimized crystal structure of Tb2PmNd5Sc (GGA-PBE).

The structure in CIF format:
```
data_Tb2PmNd5Sc
_cell_length_a 5.4029
_cell_length_b 22.0122
_cell_length_c 10.2839
_cell_angle_alpha 90.00
_cell_angle_beta 90.00
_cell_angle_gamma 90.00
_space_group_name_H-M_alt 'C m c 21'
_space_group_IT_number 36
loop_
_space_group_symop_operation_xyz
'x,y,z'
'-x,-y,z+1/2'
'-x,y,z'
'x,-y,z+1/2'
'x+1/2,y+1/2,z'
'-x+1/2,-y+1/2,z+1/2'
'-x+1/2,y+1/2,z'
'x+1/2,-y+1/2,z+1/2'
loop_
_atom_site_label
_atom_site_type_symbol
_atom_site_fract_x
_atom_site_fract_y
_atom_site_fract_z
Tb1 Tb 0.0000 0.1161 0.0000
Tb2 Tb 0.0000 0.1168 0.5006
Pm1 Pm 0.0000 0.3986 0.2503
Nd1 Nd 0.0000 0.0015 0.2503
Nd2 Nd 0.0000 0.2779 0.0633
Nd3 Nd 0.0000 0.2787 0.4391
Nd4 Nd 0.0000 0.3737 0.7505
Nd5 Nd 0.0000 0.4999 0.0002
Sc1 Sc 0.0000 0.2150 0.7512
```

Entry from Alexandria via LeMat-Bulk: an optimized crystal structure of Tb2PmNd4Sc (GGA-PBE).

The structure in CIF format:
```
data_Tb2PmNd4Sc
_cell_length_a 5.8875
_cell_length_b 5.9034
_cell_length_c 7.5710
_cell_angle_alpha 90.00
_cell_angle_beta 90.00
_cell_angle_gamma 90.00
_space_group_name_H-M_alt 'P m m m'
_space_group_IT_number 47
loop_
_space_group_symop_operation_xyz
'x,y,z'
'-x,-y,-z'
'-x,-y,z'
'x,y,-z'
'x,-y,-z'
'-x,y,z'
'-x,y,-z'
'x,-y,z'
loop_
_atom_site_label
_atom_site_type_symbol
_atom_site_fract_x
_atom_site_fract_y
_atom_site_fract_z
Tb1 Tb 0.0000 0.0000 0.0000
Tb2 Tb 0.5000 0.5000 0.5000
Pm1 Pm 0.0000 0.0000 0.5000
Nd1 Nd 0.0000 0.5000 0.2360
Nd2 Nd 0.5000 0.0000 0.2372
Sc1 Sc 0.5000 0.5000 0.0000
```

Entry from Alexandria via LeMat-Bulk: an optimized crystal structure of TbPm2NdSc (GGA-PBE).

The structure in CIF format:
```
data_TbPm2NdSc
_cell_length_a 8.2755
_cell_length_b 11.4721
_cell_length_c 7.1760
_cell_angle_alpha 90.00
_cell_angle_beta 90.00
_cell_angle_gamma 90.00
_space_group_name_H-M_alt 'C m c m'
_space_group_IT_number 63
_space_group_name_Hall '-C 2c 2'
loop_
_atom_site_label
_atom_site_type_symbol
_atom_site_fract_x
_atom_site_fract_y
_atom_site_fract_z
Tb1 Tb 0.0000 0.2422 0.2500
Pm1 Pm 0.1990 0.0000 0.0000
Nd1 Nd 0.0000 0.2274 0.7500
Sc1 Sc 0.0000 0.4888 0.7500
```

Entry from Alexandria via LeMat-Bulk: an optimized crystal structure of TbPm2Nd4Sc (GGA-PBE).

The structure in CIF format:
```
data_TbPm2Nd4Sc
_cell_length_a 5.1049
_cell_length_b 5.1264
_cell_length_c 10.1293
_cell_angle_alpha 90.00
_cell_angle_beta 90.05
_cell_angle_gamma 90.00
_space_group_name_H-M_alt 'P 1 2/m 1'
_space_group_IT_number 10
loop_
_space_group_symop_operation_xyz
'x,y,z'
'-x,-y,-z'
'-x,y,-z'
'x,-y,z'
loop_
_atom_site_label
_atom_site_type_symbol
_atom_site_fract_x
_atom_site_fract_y
_atom_site_fract_z
Tb1 Tb 0.0000 0.0000 0.0000
Pm1 Pm 0.0000 0.0000 0.5000
Pm2 Pm 0.5000 0.5000 0.0000
Nd1 Nd 0.0004 0.5000 0.2554
Nd2 Nd 0.5001 0.0000 0.2546
Sc1 Sc 0.5000 0.5000 0.5000
```

Entry from Alexandria via LeMat-Bulk: an optimized crystal structure of TbPm4Nd2Sc (GGA-PBE).

The structure in CIF format:
```
data_TbPm4Nd2Sc
_cell_length_a 5.0874
_cell_length_b 5.1026
_cell_length_c 10.1513
_cell_angle_alpha 90.00
_cell_angle_beta 90.06
_cell_angle_gamma 90.00
_space_group_name_H-M_alt 'P 1 2/m 1'
_space_group_IT_number 10
loop_
_space_group_symop_operation_xyz
'x,y,z'
'-x,-y,-z'
'-x,y,-z'
'x,-y,z'
loop_
_atom_site_label
_atom_site_type_symbol
_atom_site_fract_x
_atom_site_fract_y
_atom_site_fract_z
Tb1 Tb 0.0000 0.0000 0.0000
Pm1 Pm 0.0005 0.5000 0.2553
Pm2 Pm 0.5002 0.0000 0.2545
Nd1 Nd 0.0000 0.0000 0.5000
Nd2 Nd 0.5000 0.5000 0.0000
Sc1 Sc 0.5000 0.5000 0.5000
```

Entry from Alexandria via LeMat-Bulk: an optimized crystal structure of Tb4PmNd2Sc (GGA-PBE).

The structure in CIF format:
```
data_Tb4PmNd2Sc
_cell_length_a 13.5930
_cell_length_b 13.1507
_cell_length_c 6.7883
_cell_angle_alpha 90.00
_cell_angle_beta 119.93
_cell_angle_gamma 90.00
_space_group_name_H-M_alt 'C 1 2/c 1'
_space_group_IT_number 15
loop_
_space_group_symop_operation_xyz
'x,y,z'
'-x,-y,-z'
'-x,y,-z+1/2'
'x,-y,z+1/2'
'x+1/2,y+1/2,z'
'-x+1/2,-y+1/2,-z'
'-x+1/2,y+1/2,-z+1/2'
'x+1/2,-y+1/2,z+1/2'
loop_
_atom_site_label
_atom_site_type_symbol
_atom_site_fract_x
_atom_site_fract_y
_atom_site_fract_z
Tb1 Tb 0.9998 0.2355 0.9998
Tb2 Tb 0.2342 0.9999 0.4825
Pm1 Pm 0.2500 0.2500 0.0000
Nd1 Nd 0.0000 0.5000 0.0000
Nd2 Nd 0.2500 0.2500 0.5000
Sc1 Sc 0.0000 0.0000 0.0000
```

Entry from Alexandria via LeMat-Bulk: an optimized crystal structure of Tb2Pm4NdSc (GGA-PBE).

The structure in CIF format:
```
data_Tb2Pm4NdSc
_cell_length_a 5.0663
_cell_length_b 5.0778
_cell_length_c 10.1067
_cell_angle_alpha 90.00
_cell_angle_beta 90.00
_cell_angle_gamma 90.00
_space_group_name_H-M_alt 'P m m m'
_space_group_IT_number 47
loop_
_space_group_symop_operation_xyz
'x,y,z'
'-x,-y,-z'
'-x,-y,z'
'x,y,-z'
'x,-y,-z'
'-x,y,z'
'-x,y,-z'
'x,-y,z'
loop_
_atom_site_label
_atom_site_type_symbol
_atom_site_fract_x
_atom_site_fract_y
_atom_site_fract_z
Tb1 Tb 0.0000 0.0000 0.0000
Tb2 Tb 0.5000 0.5000 0.0000
Pm1 Pm 0.0000 0.5000 0.2532
Pm2 Pm 0.5000 0.0000 0.2527
Nd1 Nd 0.0000 0.0000 0.5000
Sc1 Sc 0.5000 0.5000 0.5000
```

| no. | uncorrected energy (eV per atom) | energy relative to the elements (kJ per mole of atoms) |
| --- | --- | --- |
| 1 | -4.974 | 14.1 |
| 2 | -4.966 | 3.5 |
| 3 | -5.040 | 4.6 |
| 4 | -4.845 | 2.5 |
| 5 | -5.022 | 9.4 |
| 6 | -4.783 | 12.2 |
| 7 | -4.817 | 10.6 |
| 8 | -4.706 | 32.8 |
| 9 | -4.914 | 2.7 |
| 10 | -4.908 | 2.8 |
| 11 | -4.488 | 39.1 |
| 12 | -4.893 | 2.6 |